This record from the Alexandria database describes a crystal of ZrBiS3 relaxed with PBEsol. The functional is SCAN. Values from VASP.

## Properties
As for the crystal system: cubic. The calculation puts the density of states at the Fermi level at 3.03 states/eV/f.u. Its space group is Pm-3m. The value obtained for the volume is 118.2 Å³ per cell. The value obtained for the uncorrected formation energy is -669 meV/atom.

```
&SYSTEM
  ibrav = 0, nat = 5, ntyp = 3
/
ATOMIC_SPECIES
Zr 91.22 Zr.upf
Bi 208.98 Bi.upf
S 32.06 S.upf
CELL_PARAMETERS angstrom
4.9071 0.0000 0.0000
0.0000 4.9071 0.0000
0.0000 0.0000 4.9071
ATOMIC_POSITIONS angstrom
Zr 0.0000 0.0000 0.0000
Bi 2.4536 2.4536 2.4536
S 0.0000 0.0000 2.4536
S 0.0000 2.4536 0.0000
S 2.4536 0.0000 0.0000
```